LiFePHO5 | PBE with a Hubbard U | optimized geometry

For the total magnetization, the calculation gives 8.0 μB per cell. Its total energy is -115.8 eV per cell.

The space group is P-1 (No. 2) and the conventional cell measures 5.1557, 5.4291 and 7.2923 Å, with angles of 105.27, 109.54 and 99.18 degrees. The inequivalent atoms are Li at (0.2482, 0.3944, 0.3277), Fe at (0.5000, 0.0000, 0.0000), Fe at (0.5000, 0.0000, 0.5000), P at (0.1725, 0.3612, 0.7314), H at (0.1413, 0.9341, 0.1636), O at (0.1399, 0.7497, 0.4358), O at (0.1897, 0.6535, 0.8437), O at (0.2201, 0.1996, 0.8806), O at (0.3439, 0.0445, 0.2297) and O at (0.3828, 0.3482, 0.6216).